No. 1
La2PrSmSe3O4: optimized geometry, PBE.

## Properties
Volume in A^3/atom: 20.31
Total DFT energy (no corrections) in eV/atom: -7.328

abc: 8.4733 6.8253 6.8253
angles: 34.48 90.00 90.00
Last column: nearest neighbours and their distance in Å.
Atoms (fractional coordinates):
La 0.2394 0.0000 0.0000  4 O 2.38-2.40
La 0.7607 0.0000 0.0000  4 O 2.38-2.40
Pr 0.0000 0.3149 0.3149  4 O 2.33-2.39
Sm 0.5000 0.3328 0.3328  4 O 2.33-2.37
Se 0.0000 0.6294 0.6294  2 Se 3.04, 2 Pr 3.15, 4 La 3.32
Se 0.3517 0.6769 0.6769  1 Se 2.51
Se 0.6483 0.6769 0.6769  1 Se 2.51
O 0.0000 0.9038 0.9038  2 Pr 2.33, 2 La 2.38
O 0.2474 0.4031 0.4031  1 Sm 2.33, 2 La 2.39, 1 Pr 2.39
O 0.5000 0.9276 0.9276  2 Sm 2.37, 2 La 2.40
O 0.7526 0.4031 0.4031  1 Sm 2.33, 2 La 2.39, 1 Pr 2.39

=====

No. 2
TbBiN2O: optimized geometry, PBE.

## Properties
Volume in A^3/atom: 14.45
Total DFT energy (no corrections) in eV/atom: -6.714

abc: 7.7996 8.5575 8.6794
angles: 87.00 89.07 88.13
Last column: nearest neighbours and their distance in Å.
Atoms (fractional coordinates):
Tb 0.0186 0.0589 0.2834  3 O 2.33-2.56, 3 N 2.35-2.41
Tb 0.0529 0.5053 0.2108  4 N 2.31-2.47, 1 O 2.46
Tb 0.4626 0.9714 0.7161  2 O 2.23-2.30, 3 N 2.38-2.47
Tb 0.4730 0.5088 0.7974  3 O 2.19-2.45, 2 N 2.33-2.37
Tb 0.5270 0.4912 0.2026  3 O 2.19-2.45, 2 N 2.33-2.37
Tb 0.5374 0.0286 0.2839  2 O 2.23-2.30, 3 N 2.38-2.47
Tb 0.9471 0.4947 0.7892  4 N 2.31-2.47, 1 O 2.46
Tb 0.9814 0.9411 0.7166  3 O 2.33-2.56, 3 N 2.35-2.41
Bi 0.2423 0.2845 0.5237  4 N 2.11-2.21, 1 O 2.35
Bi 0.2444 0.7914 0.0160  4 N 2.15-2.23, 1 O 2.29
Bi 0.2457 0.2288 0.9654  4 N 2.12-2.28, 1 O 2.21
Bi 0.2505 0.7291 0.4654  4 N 2.16-2.19
Bi 0.7495 0.2709 0.5346  4 N 2.16-2.19
Bi 0.7543 0.7712 0.0346  4 N 2.12-2.28, 1 O 2.21
Bi 0.7556 0.2086 0.9840  4 N 2.15-2.23, 1 O 2.29
Bi 0.7577 0.7155 0.4763  4 N 2.11-2.21, 1 O 2.35
N 0.0038 0.6916 0.9520  2 Bi 2.16-2.18, 1 Tb 2.31
N 0.0077 0.6956 0.5922  2 Bi 2.19-2.21, 2 Tb 2.41
N 0.1243 0.7946 0.2510  2 Bi 2.16-2.23, 1 Tb 2.41
N 0.2033 0.0059 0.8787  2 Bi 2.12-2.15, 1 Tb 2.35
N 0.2182 0.3799 0.7424  2 Bi 2.11-2.28, 1 Tb 2.34
N 0.3026 0.4954 0.3835  2 Bi 2.18, 1 Tb 2.33
N 0.4907 0.7812 0.1238  2 Bi 2.15-2.19
N 0.4979 0.1685 0.5152  2 Bi 2.19-2.20, 2 Tb 2.38-2.40
N 0.5021 0.8315 0.4848  2 Bi 2.19-2.20, 2 Tb 2.38-2.40
N 0.5093 0.2188 0.8762  2 Bi 2.15-2.19
N 0.6974 0.5046 0.6165  2 Bi 2.18, 1 Tb 2.33
N 0.7818 0.6201 0.2576  2 Bi 2.11-2.28, 1 Tb 2.34
N 0.7967 0.9941 0.1213  2 Bi 2.12-2.15, 1 Tb 2.35
N 0.8757 0.2054 0.7490  2 Bi 2.16-2.23, 1 Tb 2.41
N 0.9923 0.3044 0.4078  2 Bi 2.19-2.21, 2 Tb 2.41
N 0.9962 0.3084 0.0480  2 Bi 2.16-2.18, 1 Tb 2.31
O 0.1877 0.0153 0.5328  2 Tb 2.33-2.56, 2 Bi 2.35-2.58
O 0.2894 0.1421 0.2065  1 Bi 2.21, 2 Tb 2.23-2.33
O 0.3067 0.4912 0.0399  3 Tb 2.24-2.46, 1 Bi 2.43
O 0.3347 0.7358 0.7720  2 Tb 2.19-2.30, 1 Bi 2.29
O 0.6653 0.2642 0.2280  2 Tb 2.19-2.30, 1 Bi 2.29
O 0.6933 0.5088 0.9601  3 Tb 2.24-2.46, 1 Bi 2.43
O 0.7106 0.8579 0.7935  1 Bi 2.21, 2 Tb 2.23-2.33
O 0.8123 0.9847 0.4672  2 Tb 2.33-2.56, 2 Bi 2.35-2.58

=====

No. 3
Cs2AgBiBr6: optimized geometry, PBE.

## Properties
Volume in A^3/atom: 37.20
Total DFT energy (no corrections) in eV/atom: -2.987

abc: 8.0717 8.0717 8.0713
angles: 119.98 119.98 60.03
Last column: nearest neighbours and their distance in Å.
Atoms (fractional coordinates):
Cs 0.2498 0.2498 0.2500  12 Br 4.03-4.05
Cs 0.7502 0.7502 0.7500  12 Br 4.03-4.05
Ag 0.0000 0.0000 0.5000  6 Br 2.83-2.84
Bi 0.5000 0.5000 0.0000  6 Br 2.87
Br 0.2483 0.2483 0.7473  1 Ag 2.83, 1 Bi 2.87
Br 0.2478 0.7509 0.2511  1 Ag 2.84, 1 Bi 2.87
Br 0.2491 0.7522 0.7489  1 Ag 2.84, 1 Bi 2.87
Br 0.7509 0.2478 0.2511  1 Ag 2.84, 1 Bi 2.87
Br 0.7522 0.2491 0.7489  1 Ag 2.84, 1 Bi 2.87
Br 0.7517 0.7517 0.2527  1 Ag 2.83, 1 Bi 2.87

=====

No. 4
Cu3SnSeS3: optimized geometry, PBE.

## Properties
Volume in A^3/atom: 20.20
Total DFT energy (no corrections) in eV/atom: -4.200

abc: 5.4477 5.4477 6.6699
angles: 114.16 114.16 89.77
Last column: nearest neighbours and their distance in Å.
Atoms (fractional coordinates):
Cu 0.0000 0.0000 0.0000  3 S 2.28-2.29, 1 Se 2.42
Cu 0.2626 0.7379 0.5213  3 S 2.28-2.29, 1 Se 2.42
Cu 0.7379 0.2626 0.5213  3 S 2.28-2.29, 1 Se 2.42
Sn 0.4864 0.4864 0.0058  3 S 2.47, 1 Se 2.58
Se 0.8954 0.8954 0.2784  3 Cu 2.42, 1 Sn 2.58
S 0.0997 0.6267 0.7455  3 Cu 2.29, 1 Sn 2.47
S 0.3604 0.3604 0.2719  3 Cu 2.28, 1 Sn 2.47
S 0.6267 0.0997 0.7455  3 Cu 2.29, 1 Sn 2.47

=====

Which of these has the highest volume? Cs2AgBiBr6

=====

Among the records above, which one has the highest volume? Cs2AgBiBr6